# 1
Density functional theory data (PBE) for a geometry-optimized Y2CdCu2 structure. Values from VASP.

Computed properties:
Calculated formation energy   -0.016 eV/atom
Symmetry   P4/mbm (127)

```
&SYSTEM
  ibrav = 0, nat = 10, ntyp = 3
/
ATOMIC_SPECIES
Y 88.91 Y.upf
Cu 63.55 Cu.upf
Cd 112.41 Cd.upf
CELL_PARAMETERS angstrom
8.1993 0.0000 0.0000
0.0000 8.1993 0.0000
0.0000 0.0000 3.4211
ATOMIC_POSITIONS crystal
Y 0.3420 0.8420 0.0000
Y 0.8420 0.6580 0.0000
Y 0.6580 0.1580 0.0000
Y 0.1580 0.3420 0.0000
Cu 0.1276 0.6276 0.5000
Cu 0.6276 0.8724 0.5000
Cu 0.8724 0.3724 0.5000
Cu 0.3724 0.1276 0.5000
Cd 0.0000 0.0000 0.0000
Cd 0.5000 0.5000 0.0000
```


# 2
Density functional theory data (PBE) for a geometry-optimized Y11Cd9Cu4 structure. Values from VASP.

Computed properties:
Calculated formation energy   -0.329 eV/atom
Symmetry   Cmmm (65)

```
&SYSTEM
  ibrav = 0, nat = 24, ntyp = 3
/
ATOMIC_SPECIES
Y 88.91 Y.upf
Cd 112.41 Cd.upf
Cu 63.55 Cu.upf
CELL_PARAMETERS angstrom
3.6746 0.0000 0.0000
0.0000 12.0865 -5.0807
0.0000 0.0779 13.1107
ATOMIC_POSITIONS crystal
Y 0.0000 0.5841 0.9227
Y 0.0000 0.4159 0.0773
Y 0.0000 0.9227 0.5841
Y 0.0000 0.0773 0.4159
Y 0.0000 0.6308 0.3692
Y 0.0000 0.3692 0.6308
Y 0.0000 0.8370 0.1630
Y 0.0000 0.1630 0.8370
Y 0.0000 0.0000 0.0000
Y 0.0000 0.6960 0.6960
Y 0.0000 0.3040 0.3040
Cd 0.5000 0.6326 0.1568
Cd 0.5000 0.3674 0.8432
Cd 0.5000 0.1568 0.6326
Cd 0.5000 0.8432 0.3674
Cd 0.5000 0.7837 0.9276
Cd 0.5000 0.2163 0.0724
Cd 0.5000 0.9276 0.7837
Cd 0.5000 0.0724 0.2163
Cd 0.5000 0.5000 0.5000
Cu 0.5000 0.5490 0.7463
Cu 0.5000 0.4510 0.2537
Cu 0.5000 0.7463 0.5490
Cu 0.5000 0.2537 0.4510
```


# 3
Density functional theory data (PBE) for a geometry-optimized Y2CdCu structure. Values from VASP.

Computed properties:
Calculated formation energy   -0.053 eV/atom
Symmetry   I-4m2 (119)

```
&SYSTEM
  ibrav = 0, nat = 4, ntyp = 3
/
ATOMIC_SPECIES
Cd 112.41 Cd.upf
Cu 63.55 Cu.upf
Y 88.91 Y.upf
CELL_PARAMETERS angstrom
5.9215 0.0049 0.0000
2.7255 5.2570 0.0000
-4.3235 -2.6309 3.0741
ATOMIC_POSITIONS crystal
Cd 0.5000 0.5000 0.0000
Cu 0.7500 0.2500 0.5000
Y 0.0000 0.0000 0.0000
Y 0.2500 0.7500 0.5000
```


# 4
Density functional theory data (PBE) for a geometry-optimized Y2CdCu structure. Values from VASP.

Computed properties:
Calculated formation energy   0.090 eV/atom
Symmetry   I-42d (122)

```
&SYSTEM
  ibrav = 0, nat = 8, ntyp = 3
/
ATOMIC_SPECIES
Y 88.91 Y.upf
Cu 63.55 Cu.upf
Cd 112.41 Cd.upf
CELL_PARAMETERS angstrom
8.0013 0.0000 0.0000
0.0000 8.0013 0.0000
4.0006 4.0006 3.2578
ATOMIC_POSITIONS crystal
Y 0.5818 0.1250 0.2500
Y 0.1682 0.6250 0.2500
Y 0.3750 0.4182 0.7500
Y 0.8750 0.8318 0.7500
Cu 0.5000 0.5000 0.0000
Cu 0.2500 0.7500 0.5000
Cd 0.0000 0.0000 0.0000
Cd 0.7500 0.2500 0.5000
```


# 5
Density functional theory data (PBE) for a geometry-optimized Y12CdCu6 structure. Values from VASP.

Computed properties:
Calculated formation energy   -0.190 eV/atom
Symmetry   Im-3 (204)

```
&SYSTEM
  ibrav = 0, nat = 19, ntyp = 3
/
ATOMIC_SPECIES
Y 88.91 Y.upf
Cd 112.41 Cd.upf
Cu 63.55 Cu.upf
CELL_PARAMETERS angstrom
8.0745 0.0000 -2.8548
-4.0372 6.9927 -2.8548
0.0000 0.0000 8.5643
ATOMIC_POSITIONS crystal
Y 0.2957 0.1074 0.8117
Y 0.2957 0.4841 0.1883
Y 0.7043 0.5159 0.8117
Y 0.7043 0.8926 0.1883
Y 0.1074 0.8117 0.2957
Y 0.4841 0.1883 0.2957
Y 0.5159 0.8117 0.7043
Y 0.8926 0.1883 0.7043
Y 0.8117 0.2957 0.1074
Y 0.1883 0.2957 0.4841
Y 0.8117 0.7043 0.5159
Y 0.1883 0.7043 0.8926
Cd 0.0000 0.0000 0.0000
Cu 0.3763 0.5000 0.8763
Cu 0.6237 0.5000 0.1237
Cu 0.5000 0.8763 0.3763
Cu 0.5000 0.1237 0.6237
Cu 0.8763 0.3763 0.5000
Cu 0.1237 0.6237 0.5000
```


# 6
Density functional theory data (PBE) for a geometry-optimized YCd2Cu structure. Values from VASP.

Computed properties:
Calculated formation energy   -0.217 eV/atom
Symmetry   F222 (22)

```
&SYSTEM
  ibrav = 0, nat = 4, ntyp = 3
/
ATOMIC_SPECIES
Y 88.91 Y.upf
Cu 63.55 Cu.upf
Cd 112.41 Cd.upf
CELL_PARAMETERS angstrom
-3.5706 1.0201 3.2162
3.1131 -0.6843 3.7383
1.0904 3.1750 -3.5820
ATOMIC_POSITIONS crystal
Y 0.2500 0.7500 0.5000
Cu 0.4998 0.4998 0.0000
Cd 0.0001 0.0001 0.0000
Cd 0.7500 0.2500 0.5000
```